# 1
Bi2PBr | PBE | optimized geometry

Cell: 8.0884 8.0884 6.7465 Å, 53.17 53.17 90.00°
Last column: nearest neighbours and their distance in Å.
Element x y z (fractional)
Bi  0.8750  0.8302  0.7500  2 P 2.76
Bi  0.5802  0.1250  0.2500  2 P 2.76
Bi  0.1698  0.6250  0.2500  2 P 2.76
Bi  0.3750  0.4198  0.7500  2 P 2.76
Br  0.7500  0.2500  0.5000  4 Bi 3.25, 2 P 3.58
Br  0.0000  0.0000  0.0000  4 Bi 3.25, 2 P 3.58
P  0.2500  0.7500  0.5000  4 Bi 2.76
P  0.5000  0.5000  0.0000  4 Bi 2.76

Uncorrected formation energy   30 meV/atom
Magnetization   0.0 μB per formula unit
Calculated density   7.5 g cm⁻³

***

# 2
NbPd2Br6 | PBE | optimized geometry

Cell: 5.5507 9.7700 9.7700 Å, 84.04 83.36 83.36°
Last column: nearest neighbours and their distance in Å.
Element x y z (fractional)
Pd  0.6564  0.5113  0.3143  2 Br 2.48
Pd  0.8436  0.6857  0.4887  2 Br 2.48
Pd  0.3436  0.4887  0.6857  2 Br 2.48
Pd  0.1564  0.3143  0.5113  2 Br 2.48
Br  0.8657  0.8932  0.3195  1 Pd 2.48, 1 Nb 2.71
Br  0.3293  0.7050  0.5282  1 Pd 2.48
Br  0.6707  0.2950  0.4718  1 Pd 2.48
Br  0.8486  0.1926  0.0504  2 Nb 2.54-2.63
Br  0.1514  0.8074  0.9496  2 Nb 2.54-2.63
Br  0.1707  0.4718  0.2950  1 Pd 2.48
Br  0.6514  0.9496  0.8074  2 Nb 2.54-2.63
Br  0.1343  0.1068  0.6805  1 Pd 2.48, 1 Nb 2.71
Br  0.6343  0.6805  0.1068  1 Pd 2.48, 1 Nb 2.71
Br  0.3486  0.0504  0.1926  2 Nb 2.54-2.63
Br  0.8293  0.5282  0.7050  1 Pd 2.48
Br  0.3657  0.3195  0.8932  1 Pd 2.48, 1 Nb 2.71
Nb  0.7500  0.9446  0.0554  6 Br 2.54-2.71
Nb  0.2500  0.0554  0.9446  6 Br 2.54-2.71

Uncorrected formation energy   -387 meV/atom
Magnetization   0.0 μB per formula unit
Calculated density   5.0 g cm⁻³

***

# 3
Sm4ErMg2 | PBE | optimized geometry

Cell: 5.5833 5.5833 9.4627 Å, 72.84 72.84 60.00°
Last column: nearest neighbours and their distance in Å.
Element x y z (fractional)
Sm  0.7430  0.7430  0.7709  4 Mg 3.24-3.33, 4 Sm 3.37-3.53
Sm  0.8693  0.8693  0.3921  3 Er 3.36, 7 Sm 3.37-3.75
Sm  0.1307  0.1307  0.6079  3 Er 3.36, 7 Sm 3.37-3.75
Sm  0.2570  0.2570  0.2291  4 Mg 3.24-3.33, 4 Sm 3.37-3.53
Er  0.5000  0.5000  0.5000  2 Mg 3.24, 6 Sm 3.36
Mg  0.6215  0.6215  0.1354  4 Sm 3.24-3.33, 1 Er 3.24
Mg  0.3785  0.3785  0.8646  4 Sm 3.24-3.33, 1 Er 3.24

Magnetization   0.0 μB per formula unit
Calculated density   5.7 g cm⁻³
Formation enthalpy at 0 K   267 meV per atom

***

# 4
SrMn2PbCl8 | PBE | optimized geometry

Cell: 7.8342 7.8342 7.8342 Å, 106.69 106.69 115.20°
Last column: nearest neighbours and their distance in Å.
Element x y z (fractional)
Cl  0.3113  0.1262  0.8149  1 Mn 2.35
Cl  0.9390  0.6248  0.6858  1 Mn 2.35
Cl  0.8738  0.6887  0.1851  1 Mn 2.35
Cl  0.9390  0.2532  0.3142  1 Mn 2.35
Cl  0.3113  0.4963  0.1851  1 Mn 2.35
Cl  0.5037  0.6887  0.8149  1 Mn 2.35
Cl  0.7468  0.0610  0.6858  1 Mn 2.35
Cl  0.3752  0.0610  0.3142  1 Mn 2.35
Mn  0.7500  0.2500  0.5000  4 Cl 2.35
Mn  0.5000  0.5000  0.0000  4 Cl 2.35
Sr  0.0000  0.0000  0.0000  8 Cl 2.98-3.13
Pb  0.2500  0.7500  0.5000  8 Cl 2.99-3.14

Uncorrected formation energy   -1434 meV/atom
Magnetization   10.0 μB per formula unit
Calculated density   3.1 g cm⁻³

***

# 5
SiHgPS2 | PBE | optimized geometry

Cell: 4.4787 4.4787 4.8546 Å, 90.00 90.00 90.00°
Last column: nearest neighbours and their distance in Å.
Element x y z (fractional)
S  0.0000  0.5000  0.0000  2 Si 2.24
S  0.5000  0.0000  0.0000  2 Si 2.24
Si  0.0000  0.0000  0.0000  4 S 2.24, 2 P 2.43
P  0.0000  0.0000  0.5000  2 Si 2.43
Hg  0.5000  0.5000  0.5000  4 P 3.17, 8 S 3.30

Uncorrected formation energy   435 meV/atom
Magnetization   0.0 μB per formula unit
Calculated density   5.5 g cm⁻³

***

# 6
CuAs6Ru | PBE | optimized geometry

Cell: 7.4311 7.4311 7.4515 Å, 109.06 109.64 109.60°
Last column: nearest neighbours and their distance in Å.
Element x y z (fractional)
As  0.2031  0.8565  0.3540  1 Ru 2.45, 1 Cu 2.52, 2 As 2.52-2.57
As  0.6471  0.5043  0.8503  1 Ru 2.45, 1 Cu 2.50, 2 As 2.53-2.58
As  0.8504  0.3558  0.2062  2 Cu 2.48, 2 As 2.52-2.58
As  0.1496  0.6442  0.7938  2 Cu 2.48, 2 As 2.52-2.58
As  0.1447  0.3456  0.4903  2 Ru 2.47, 2 As 2.52-2.58
As  0.8553  0.6544  0.5097  2 Ru 2.47, 2 As 2.52-2.58
As  0.4974  0.1509  0.3540  1 Ru 2.45, 1 Cu 2.52, 2 As 2.52-2.57
As  0.7969  0.1435  0.6460  1 Ru 2.45, 1 Cu 2.52, 2 As 2.52-2.57
As  0.3529  0.4957  0.1497  1 Ru 2.45, 1 Cu 2.50, 2 As 2.53-2.58
As  0.5026  0.8491  0.6460  1 Ru 2.45, 1 Cu 2.52, 2 As 2.52-2.57
As  0.3461  0.2033  0.8503  1 Ru 2.45, 1 Cu 2.50, 2 As 2.53-2.58
As  0.6539  0.7967  0.1497  1 Ru 2.45, 1 Cu 2.50, 2 As 2.53-2.58
Cu  0.0000  0.5000  0.0000  6 As 2.48-2.52
Cu  0.5000  0.0000  0.0000  6 As 2.48-2.52
Ru  0.5000  0.5000  0.5000  6 As 2.45-2.47
Ru  0.0000  0.0000  0.5000  6 As 2.45-2.47

Magnetization   0.0 μB per formula unit
Calculated density   6.4 g cm⁻³
Formation enthalpy at 0 K   -109 meV per atom